Density functional theory data (GGA+U) for a relaxed structure of Cs2LiV2O6.

The calculation puts the calculated total energy at -139.3 eV per cell. For the volume, the calculation gives 447.58 Å³ per cell.

It has space group C2/m (No. 12), with a = 13.2132 Å, b = 5.8341 Å, c = 6.4521 Å, α = 90.00°, β = 115.86° and γ = 90.00°. The inequivalent atoms are Cs at (0.2165, 0.0000, 0.1954), Li at (0.0000, 0.0000, 0.5000), V at (0.0398, 0.5000, 0.2271), O at (0.0755, 0.2548, 0.3880) and O at (0.1057, 0.5000, 0.0195).